A plane-wave DFT calculation with GGA-PBE was carried out for a relaxed structure of LaY3Zn.

Values from the calculation:
For the energy above the most stable polymorph in this dataset, the calculation gives 0 meV/atom. The energy of formation is 0.099 eV per atom.

The structure in POSCAR format:
```
LaY3Zn
1.0
5.515 0.000 0.000
0.000 5.515 0.000
0.000 0.000 5.515
La Y Zn
1 3 1
Cartesian
0.000 0.000 0.000
0.000 2.757 2.757
2.757 0.000 2.757
2.757 2.757 0.000
2.757 2.757 2.757
```

***

A plane-wave DFT calculation with GGA-PBE was carried out for a relaxed structure of MnSb.

Values from the calculation:
For the formation energy without anion corrections, the calculation gives 112 kJ/mol of formula units.

The structure in POSCAR format:
```
MnSb
1.0
0.000 3.474 3.474
3.474 0.000 3.474
3.474 3.474 0.000
Mn Sb
2 2
Cartesian
0.869 0.869 0.869
6.080 6.080 6.080
2.606 2.606 2.606
4.343 4.343 4.343
```

***

A plane-wave DFT calculation with GGA-PBE was carried out for a relaxed structure of TcHg2Te.

Values from the calculation:
For the formation energy without anion corrections, the calculation gives 117 kJ/mol of formula units.

The structure in POSCAR format:
```
TcHg2Te
1.0
-1.578 2.388 6.628
1.578 -2.388 6.628
1.578 2.388 -6.628
Tc Hg Te
1 2 1
Cartesian
0.000 0.000 0.000
1.578 0.000 2.441
0.000 0.000 6.950
0.000 2.388 4.547
```

***

A plane-wave DFT calculation with GGA-PBE was carried out for a relaxed structure of Na2SrCl.

Values from the calculation:
For the formation energy without anion corrections, the calculation gives -106 kJ/mol of formula units. For the energy above the most stable polymorph in this dataset, the calculation gives 446 meV/atom.

The structure in POSCAR format:
```
Na2SrCl
1.0
0.000 4.250 4.250
4.250 0.000 4.250
4.250 4.250 0.000
Na Sr Cl
2 1 1
Cartesian
2.125 2.125 2.125
6.376 6.376 6.376
0.000 0.000 0.000
4.250 4.250 4.250
```

***

A plane-wave DFT calculation with GGA-PBE was carried out for a relaxed structure of Pr3CoI.

Values from the calculation:
For the formation energy without anion corrections, the calculation gives -170 kJ/mol of formula units.

The structure in POSCAR format:
```
Pr3CoI
1.0
4.136 0.000 0.000
0.000 7.117 0.000
0.000 0.000 10.309
Pr Co I
6 2 2
Cartesian
1.034 0.015 1.459
1.034 3.543 1.459
1.034 5.337 6.259
3.102 1.779 4.050
3.102 3.573 8.849
3.102 7.102 8.849
1.034 5.337 9.199
3.102 1.779 1.110
1.034 1.779 6.686
3.102 5.337 3.623
```

***

A plane-wave DFT calculation with GGA-PBE was carried out for a relaxed structure of La2TmAg4.

Values from the calculation:
The energy of formation is -0.115 eV per atom.

The structure in POSCAR format:
```
La2TmAg4
1.0
-2.712 2.712 6.529
2.712 -2.712 6.529
2.712 2.712 -6.529
La Tm Ag
2 1 4
Cartesian
0.000 0.000 2.841
0.000 0.000 10.216
0.000 0.000 6.529
2.712 0.000 1.440
2.712 0.000 5.089
0.000 2.712 1.440
0.000 2.712 5.089
```

***

no.,final energy (eV per formula unit)
1,-25.1
2,-12.1
3,-12.9
4,-7.3
5,-24.8
6,-26.5